Crystalline BeAlAs at its relaxed geometry, computed with PBE.

Cell lengths 4.1248, 4.1248, 4.1248 Å; angles 60.00, 60.00, 60.00 degrees
With the nearest neighbours (Å) after each atom.
Fractional positions:
Be (0.7500, 0.7500, 0.7500)  4 As 2.53, 4 Al 2.53
As (0.5000, 0.5000, 0.5000)  4 Be 2.53
Al (0.0000, 0.0000, 0.0000)  4 Be 2.53

## Properties
The formation energy is 19.0 kJ per mole of atoms. The space-group type is F-43m.